Record 1
This record from the Alexandria database describes an optimized crystal structure of EuC2S2N2. The functional is GGA-PBEsol.

The structure in POSCAR format:
```
EuC2S2N2
1.0
5.804 -0.136 -0.091
2.380 5.295 -0.091
0.012 0.008 7.841
Eu C N S
2 4 4 4
Direct
0.912 0.088 0.250
0.088 0.912 0.750
0.513 0.247 0.602
0.487 0.753 0.398
0.247 0.513 0.102
0.753 0.487 0.898
0.278 0.839 0.450
0.161 0.722 0.050
0.722 0.161 0.550
0.839 0.278 0.950
0.768 0.643 0.325
0.357 0.232 0.175
0.643 0.768 0.825
0.232 0.357 0.675
```

## Properties
symmetry = C2/c, No. 15
energy relative to the elements, uncorrected = -0.436 eV per atom



Record 2
This record from the Alexandria database describes an optimized crystal structure of LiHo2Ir. The functional is GGA-PBEsol.

The structure in POSCAR format:
```
LiHo2Ir
1.0
-4.102 -2.527 -0.152
-0.787 -3.104 -3.603
0.059 -4.744 0.850
Ho Ir Li
2 1 1
Direct
0.750 0.750 0.750
0.250 0.250 0.250
0.500 0.500 0.500
0.000 0.000 0.000
```

## Properties
symmetry = Fm-3m, No. 225
energy of formation = -2.3 eV/f.u.



Please write out number 1 again, unchanged.
This record from the Alexandria database describes an optimized crystal structure of EuC2S2N2. The functional is GGA-PBEsol.

The structure in POSCAR format:
```
EuC2S2N2
1.0
5.804 -0.136 -0.091
2.380 5.295 -0.091
0.012 0.008 7.841
Eu C N S
2 4 4 4
Direct
0.912 0.088 0.250
0.088 0.912 0.750
0.513 0.247 0.602
0.487 0.753 0.398
0.247 0.513 0.102
0.753 0.487 0.898
0.278 0.839 0.450
0.161 0.722 0.050
0.722 0.161 0.550
0.839 0.278 0.950
0.768 0.643 0.325
0.357 0.232 0.175
0.643 0.768 0.825
0.232 0.357 0.675
```

## Properties
symmetry = C2/c, No. 15
energy relative to the elements, uncorrected = -0.436 eV per atom



Copy entry 1 word for word.
This record from the Alexandria database describes an optimized crystal structure of EuC2S2N2. The functional is GGA-PBEsol.

The structure in POSCAR format:
```
EuC2S2N2
1.0
5.804 -0.136 -0.091
2.380 5.295 -0.091
0.012 0.008 7.841
Eu C N S
2 4 4 4
Direct
0.912 0.088 0.250
0.088 0.912 0.750
0.513 0.247 0.602
0.487 0.753 0.398
0.247 0.513 0.102
0.753 0.487 0.898
0.278 0.839 0.450
0.161 0.722 0.050
0.722 0.161 0.550
0.839 0.278 0.950
0.768 0.643 0.325
0.357 0.232 0.175
0.643 0.768 0.825
0.232 0.357 0.675
```

## Properties
symmetry = C2/c, No. 15
energy relative to the elements, uncorrected = -0.436 eV per atom